1.
## Li2ZrRe (PBE)

Data for a geometry-optimized Li2ZrRe structure.

Cell lengths 5.001, 5.001, 5.001 Å; angles 142.51, 123.19, 70.07 degrees
Fractional positions:
Li  0.973  0.973  0.000
Li  0.766  0.266  0.500
Re  0.514  0.514  0.000
Zr  0.247  0.747  0.500

Results
DOS at the Fermi energy (states/eV/atom): 0.62
Mass density (Mg/m³): 7.7
Distance to the lowest polymorph of the same formula (meV/atom): 192
E (eV for the cell shown): -23.3
Spin magnetization (μB per atom): 0.00
DFT formation energy (eV/atom): 0.383
SG: No. 44
Crystal system: orthorhombic

***

2.
## Li2ZrRe (PBE)

Data for a geometry-optimized Li2ZrRe structure.

Cell lengths 2.636, 2.636, 9.814 Å; angles 90.00, 90.00, 90.00 degrees
Fractional positions:
Li  0.000  0.000  0.028
Li  0.000  0.000  0.472
Re  0.500  0.500  0.250
Zr  0.500  0.500  0.750

Results
DOS at the Fermi energy (states/eV/atom): 0.58
Mass density (Mg/m³): 7.1
Distance to the lowest polymorph of the same formula (meV/atom): 253
E (eV for the cell shown): -23.0
Spin magnetization (μB per atom): 0.00
DFT formation energy (eV/atom): 0.444
SG: No. 123
Crystal system: tetragonal

***

3.
## Li2ZrRe (PBE)

Data for a geometry-optimized Li2ZrRe structure.

Cell lengths 4.383, 4.383, 4.383 Å; angles 60.00, 60.00, 60.00 degrees
Fractional positions:
Re  0.500  0.500  0.500
Zr  0.000  0.000  0.000
Li  0.250  0.250  0.250
Li  0.750  0.750  0.750

Results
DOS at the Fermi energy (states/eV/atom): 0.82
Mass density (Mg/m³): 8.1
Distance to the lowest polymorph of the same formula (meV/atom): 326
E (eV for the cell shown): -22.8
Spin magnetization (μB per atom): 0.00
DFT formation energy (eV/atom): 0.517
SG: No. 225
Crystal system: cubic

***

4.
## LiRh (PBE)

Data for a geometry-optimized LiRh structure.

Cell lengths 2.692, 2.692, 9.229 Å; angles 90.00, 90.00, 118.34 degrees
Fractional positions:
Li  0.000  0.000  0.019
Li  0.500  0.500  0.731
Rh  0.000  0.000  0.500
Rh  0.500  0.500  0.250

Results
DOS at the Fermi energy (states/eV/atom): 1.59
Mass density (Mg/m³): 6.2
E (eV for the cell shown): -18.3
Spin magnetization (μB per atom): 0.00
DFT formation energy (eV/atom): 0.051
SG: No. 67
Crystal system: orthorhombic

***

5.
## LiRh (PBE)

Data for a geometry-optimized LiRh structure.

Cell lengths 5.217, 5.217, 5.217 Å; angles 90.00, 90.00, 90.00 degrees
Site moments in Bohr magnetons follow the coordinates.
Fractional positions:
Li  0.250  0.250  0.250  -0.01
Li  0.250  0.750  0.750  -0.01
Li  0.750  0.250  0.750  -0.01
Li  0.750  0.750  0.250  -0.01
Rh  0.000  0.000  0.000  0.72
Rh  0.000  0.500  0.500  0.72
Rh  0.500  0.000  0.500  0.72
Rh  0.500  0.500  0.000  0.72

Results
DOS at the Fermi energy (states/eV/atom): 1.66
Mass density (Mg/m³): 5.1
E (eV for the cell shown): -26.7
Spin magnetization (μB per atom): 0.35
DFT formation energy (eV/atom): 1.293
SG: No. 216
Crystal system: cubic

***

6.
## Li8Rh (PBE)

Data for a geometry-optimized Li8Rh structure.

Cell lengths 6.358, 6.358, 6.358 Å; angles 96.19, 96.19, 141.65 degrees
Fractional positions:
Li  0.347  0.653  0.000
Li  0.653  0.347  0.000
Li  0.000  0.313  0.313
Li  0.653  0.653  0.305
Li  0.313  0.000  0.313
Li  0.347  0.347  0.695
Li  0.000  0.687  0.687
Li  0.687  0.000  0.687
Rh  0.000  0.000  0.000

Results
DOS at the Fermi energy (states/eV/atom): 0.51
Mass density (Mg/m³): 1.7
E (eV for the cell shown): -23.0
Spin magnetization (μB per atom): 0.00
DFT formation energy (eV/atom): -0.034
SG: No. 139
Crystal system: tetragonal

***

7.
## Li2Rh3 (PBE)

Data for a geometry-optimized Li2Rh3 structure.

Cell lengths 3.984, 3.984, 4.902 Å; angles 90.00, 90.00, 120.00 degrees
Fractional positions:
Li  0.667  0.333  0.131
Li  0.333  0.667  0.869
Rh  0.000  0.000  0.000
Rh  0.667  0.333  0.616
Rh  0.333  0.667  0.384

Results
DOS at the Fermi energy (states/eV/atom): 1.12
Mass density (Mg/m³): 8.0
Distance to the lowest polymorph of the same formula (meV/atom): 217
E (eV for the cell shown): -24.4
Spin magnetization (μB per atom): 0.00
DFT formation energy (eV/atom): 0.297
SG: No. 164
Crystal system: trigonal

***

8.
## LiRh (PBE)

Data for a geometry-optimized LiRh structure.

Cell lengths 4.724, 4.724, 4.724 Å; angles 90.00, 90.00, 90.00 degrees
Site moments in Bohr magnetons follow the coordinates.
Fractional positions:
Li  0.000  0.000  0.000  -0.02
Li  0.000  0.500  0.500  -0.02
Li  0.500  0.000  0.500  -0.02
Li  0.500  0.500  0.000  -0.02
Rh  0.500  0.500  0.500  0.78
Rh  0.500  0.000  0.000  0.78
Rh  0.000  0.500  0.000  0.78
Rh  0.000  0.000  0.500  0.78

Results
DOS at the Fermi energy (states/eV/atom): 0.53
Mass density (Mg/m³): 6.9
E (eV for the cell shown): -33.5
Spin magnetization (μB per atom): 0.38
DFT formation energy (eV/atom): 0.445
SG: No. 225
Crystal system: cubic

***

9.
## Li2Rh (PBE)

Data for a geometry-optimized Li2Rh structure.

Cell lengths 2.520, 4.131, 4.611 Å; angles 116.62, 105.86, 90.00 degrees
Fractional positions:
Li  0.663  0.163  0.326
Li  0.337  0.837  0.674
Rh  0.000  0.500  0.000

Results
DOS at the Fermi energy (states/eV/atom): 0.35
Mass density (Mg/m³): 4.7
E (eV for the cell shown): -11.6
Spin magnetization (μB per atom): 0.00
DFT formation energy (eV/atom): -0.129
SG: No. 71
Crystal system: orthorhombic

***

10.
## LiRh (PBE)

Data for a geometry-optimized LiRh structure.

Cell lengths 2.679, 2.679, 4.343 Å; angles 90.00, 90.00, 120.00 degrees
Site moments in Bohr magnetons follow the coordinates.
Fractional positions:
Li  0.000  0.000  0.000  -0.01
Rh  0.667  0.333  0.500  0.47

Results
DOS at the Fermi energy (states/eV/atom): 1.03
Mass density (Mg/m³): 6.8
E (eV for the cell shown): -9.6
Spin magnetization (μB per atom): 0.24
DFT formation energy (eV/atom): -0.175
SG: No. 187
Crystal system: hexagonal

***

11.
## Li2Rh (PBE)

Data for a geometry-optimized Li2Rh structure.

Cell lengths 4.728, 4.728, 4.728 Å; angles 60.00, 60.00, 60.00 degrees
Site moments in Bohr magnetons follow the coordinates.
Fractional positions:
Rh  0.000  0.000  0.000  0.58
Rh  0.250  0.250  0.250  0.58
Li  0.125  0.625  0.625  -0.01
Li  0.625  0.125  0.625  -0.01
Li  0.625  0.625  0.625  -0.01
Li  0.625  0.625  0.125  -0.01

Results
DOS at the Fermi energy (states/eV/atom): 0.78
Mass density (Mg/m³): 5.2
E (eV for the cell shown): -22.0
Spin magnetization (μB per atom): 0.18
DFT formation energy (eV/atom): 0.053
SG: No. 227
Crystal system: cubic

***

12.
## Li5Rh (PBE)

Data for a geometry-optimized Li5Rh structure.

Cell lengths 4.360, 4.403, 5.212 Å; angles 114.99, 90.00, 90.00 degrees
Fractional positions:
Rh  0.000  0.000  0.000
Li  0.500  0.851  0.702
Li  0.000  0.662  0.325
Li  0.500  0.500  0.000
Li  0.000  0.338  0.675
Li  0.500  0.149  0.298

Results
DOS at the Fermi energy (states/eV/atom): 0.37
Mass density (Mg/m³): 2.5
Distance to the lowest polymorph of the same formula (meV/atom): 10
E (eV for the cell shown): -17.2
Spin magnetization (μB per atom): 0.00
DFT formation energy (eV/atom): -0.053
SG: No. 65
Crystal system: orthorhombic